PBE Ce8Sn3Sb2, optimized geometry; energy = -72.1 eV/cell; crystal system = monoclinic; symmetry = No. 12; raw formation energy = -333 meV/atom
1.0
6.1543 0.0000 1.4236
0.0000 8.4070 0.0000
-1.2668 -4.2035 7.2042
Ce Sn Sb
8 3 2
Direct
0.3987 0.7755 0.2188
0.1072 0.3784 0.7569
0.3987 0.4433 0.2188
0.8928 0.6216 0.2431
0.9501 0.1980 0.3960
0.6013 0.2245 0.7812
0.0499 0.8020 0.6040
0.6013 0.5567 0.7812
0.0000 0.8128 0.0000
0.5000 0.0000 0.0000
0.0000 0.1872 0.0000
0.4476 0.2113 0.4226
0.5524 0.7887 0.5774